An optimized crystal structure of Sc2TlCu, computed with PBEsol.

abc: 3.5170 4.7255 4.7255
angles: 90.00 90.00 90.00
Atoms (fractional coordinates):
Sc: 0.0000 0.5000 0.0000
Sc: 0.0000 0.0000 0.5000
Tl: 0.5000 0.5000 0.5000
Cu: 0.5000 0.0000 0.0000

Its calculated volume is 19.63 Å³/atom. The calculation puts the total magnetization at 0.00 μB/f.u. The total energy comes out at -21.17 eV per cell. The value obtained for the calculated density is 7.57 g cm⁻³.

***

An optimized crystal structure of BaRuSCl2, computed with PBEsol.

abc: 5.6913 5.6913 5.8649
angles: 90.00 90.00 90.00
Atoms (fractional coordinates):
S: 0.0000 0.0000 0.5000
Ru: 0.5000 0.5000 0.5000
Cl: 0.0000 0.5000 0.0000
Cl: 0.5000 0.0000 0.0000
Ba: 0.0000 0.0000 0.0000

For the energy relative to the elements, uncorrected, the calculation gives 0.44 eV per atom. Its calculated volume is 37.99 Å³/atom. The calculation puts the total magnetization at 3.96 μB/f.u. The value obtained for the calculated density is 2.98 g cm⁻³.

***

An optimized crystal structure of ZnPOs, computed with PBEsol.

abc: 2.9612 2.9612 5.2305
angles: 106.44 106.44 90.00
Atoms (fractional coordinates):
Zn: 0.3349 0.3349 0.6699
P: 0.6420 0.6420 0.2841
Os: 0.0230 0.0230 0.0461

Its calculated volume is 14.01 Å³/atom. The calculation puts the total magnetization at 0.00 μB/f.u. The total energy comes out at -19.62 eV per cell. The value obtained for the calculated density is 11.32 g cm⁻³.

***

An optimized crystal structure of MgIn2Os, computed with PBEsol.

abc: 3.0885 5.1907 5.5299
angles: 117.25 105.07 92.35
Atoms (fractional coordinates):
In: 0.5000 0.5000 0.5000
In: 0.0000 0.0000 0.5000
Mg: 0.5000 0.0000 0.0000
Os: 0.0000 0.5000 0.0000

Its calculated volume is 18.69 Å³/atom. The calculation puts the total magnetization at 0.37 μB/f.u. The total energy comes out at -18.30 eV per cell. The value obtained for the calculated density is 9.86 g cm⁻³.

***

An optimized crystal structure of YMg2Cr, computed with PBEsol.

abc: 3.3242 3.3242 7.9528
angles: 90.00 90.00 90.00
Atoms (fractional coordinates):
Y: 0.0000 0.0000 0.5417
Cr: 0.5000 0.5000 0.7678
Mg: 0.5000 0.5000 0.2255
Mg: 0.0000 0.0000 0.9650

Its calculated volume is 21.97 Å³/atom. The calculation puts the total magnetization at 2.90 μB/f.u. The total energy comes out at -19.38 eV per cell. The value obtained for the calculated density is 3.58 g cm⁻³.

***

An optimized crystal structure of ZrCrNi2Rh, computed with PBEsol.

abc: 4.4815 4.4815 4.6375
angles: 90.00 90.00 90.00
Atoms (fractional coordinates):
Ni: 0.5000 0.0000 0.0000
Ni: 0.0000 0.5000 0.0000
Zr: 0.0000 0.0000 0.0000
Rh: 0.0000 0.0000 0.5000
Cr: 0.5000 0.5000 0.5000

Its calculated volume is 18.63 Å³/atom. The calculation puts the total magnetization at 4.49 μB/f.u. The total energy comes out at -33.49 eV per cell. The value obtained for the calculated density is 6.48 g cm⁻³.

***

An optimized crystal structure of Ti4ZnS8, computed with PBEsol.

abc: 6.6945 6.6945 7.2149
angles: 62.36 62.36 60.00
Atoms (fractional coordinates):
Ti: 0.0000 0.5000 0.0000
Ti: 0.0000 0.0000 0.0000
Ti: 0.5000 0.0000 0.0000
Ti: 0.5000 0.5000 0.0000
S: 0.7528 0.7528 0.2401
S: 0.2551 0.2551 0.2347
S: 0.2472 0.2472 0.7599
S: 0.7528 0.2543 0.2401
S: 0.7449 0.7449 0.7653
S: 0.2543 0.7528 0.2401
S: 0.7457 0.2472 0.7599
S: 0.2472 0.7457 0.7599
Zn: 0.5000 0.5000 0.5000

For the energy relative to the elements, uncorrected, the calculation gives -1.26 eV per atom. Its calculated volume is 18.19 Å³/atom. The calculation puts the total magnetization at 0.00 μB/f.u. The value obtained for the calculated density is 3.61 g cm⁻³.

***

An optimized crystal structure of AgAs2Os, computed with PBEsol.

abc: 2.9835 2.9835 7.4333
angles: 90.00 90.00 90.00
Atoms (fractional coordinates):
As: 0.0000 0.0000 0.7879
As: 0.0000 0.0000 0.2121
Os: 0.5000 0.5000 0.0000
Ag: 0.5000 0.5000 0.5000

Its calculated volume is 16.54 Å³/atom. The calculation puts the total magnetization at 0.00 μB/f.u. The total energy comes out at -24.84 eV per cell. The value obtained for the calculated density is 11.24 g cm⁻³.

***

An optimized crystal structure of Tl2HgS, computed with PBEsol.

abc: 6.5412 6.5412 6.5412
angles: 104.97 104.97 118.92
Atoms (fractional coordinates):
Tl: 0.6250 0.1529 0.0279
Tl: 0.4029 0.3750 0.5279
Tl: 0.1250 0.5971 0.9721
Tl: 0.8471 0.8750 0.4721
Hg: 0.0000 0.0000 0.0000
Hg: 0.2500 0.7500 0.5000
S: 0.5000 0.5000 0.0000
S: 0.7500 0.2500 0.5000

For the energy relative to the elements, uncorrected, the calculation gives -0.13 eV per atom. Its calculated volume is 26.37 Å³/atom. The calculation puts the total magnetization at 0.00 μB/f.u. The value obtained for the calculated density is 10.10 g cm⁻³.

***

An optimized crystal structure of Na2BeAs, computed with PBEsol.

abc: 4.7628 4.7628 4.7628
angles: 60.00 60.00 60.00
Atoms (fractional coordinates):
Na: 0.7500 0.7500 0.7500
Na: 0.2500 0.2500 0.2500
As: 0.5000 0.5000 0.5000
Be: 0.0000 0.0000 0.0000

Its calculated volume is 19.10 Å³/atom. The calculation puts the total magnetization at 0.00 μB/f.u. The total energy comes out at -10.55 eV per cell. The value obtained for the calculated density is 2.82 g cm⁻³.

***

An optimized crystal structure of SrMg16Al12, computed with PBEsol.

abc: 9.1267 9.1267 9.1267
angles: 109.47 109.47 109.47
Atoms (fractional coordinates):
Mg: 0.3189 0.7172 0.3189
Mg: 0.6811 0.3984 0.0000
Mg: 0.6016 0.2828 0.6016
Mg: 0.3619 0.3619 0.3619
Mg: 0.0000 0.6381 0.0000
Mg: 0.2828 0.6016 0.6016
Mg: 0.7172 0.3189 0.3189
Mg: 0.0000 0.0000 0.6381
Mg: 0.0000 0.3984 0.6811
Mg: 0.6811 0.0000 0.3984
Mg: 0.6016 0.6016 0.2828
Mg: 0.6381 0.0000 0.0000
Mg: 0.3189 0.3189 0.7172
Mg: 0.0000 0.6811 0.3984
Mg: 0.3984 0.0000 0.6811
Mg: 0.3984 0.6811 0.0000
Al: 0.0000 0.1880 0.3717
Al: 0.6283 0.6283 0.8162
Al: 0.6283 0.8162 0.6283
Al: 0.8120 0.1838 0.8120
Al: 0.0000 0.3717 0.1880
Al: 0.3717 0.1880 0.0000
Al: 0.8120 0.8120 0.1838
Al: 0.8162 0.6283 0.6283
Al: 0.1838 0.8120 0.8120
Al: 0.3717 0.0000 0.1880
Al: 0.1880 0.0000 0.3717
Al: 0.1880 0.3717 0.0000
Sr: 0.0000 0.0000 0.0000

Its calculated volume is 20.18 Å³/atom. The calculation puts the total magnetization at 0.00 μB/f.u. The total energy comes out at -79.59 eV per cell. The value obtained for the calculated density is 2.27 g cm⁻³.

***

An optimized crystal structure of MgCdTc, computed with PBEsol.

abc: 2.6828 4.6617 4.6617
angles: 120.00 90.00 90.00
Atoms (fractional coordinates):
Cd: 0.9649 0.0000 0.0000
Mg: 0.7028 0.6667 0.3333
Tc: 0.3323 0.3333 0.6667

Its calculated volume is 16.83 Å³/atom. The calculation puts the total magnetization at 0.00 μB/f.u. The total energy comes out at -13.06 eV per cell. The value obtained for the calculated density is 7.72 g cm⁻³.